# 1
IrAu3O: optimized geometry, PBE.

Values from the calculation:
energy above the most stable polymorph in this dataset	78.1	kJ per mole of atoms
symmetry	Pm-3m (221)
E_form (uncorrected)	1.677	eV per atom
DOS(E_F)	2.29	states/eV/atom

The structure in POSCAR format:
```
IrAu3O
1.0
5.014 0.000 0.000
0.000 5.014 0.000
0.000 0.000 5.014
Ir Au O
1 3 1
Direct
0.000 0.000 0.000
0.000 0.000 0.500
0.000 0.500 0.000
0.500 0.000 0.000
0.500 0.500 0.500
```

---

# 2
Sb4S: optimized geometry, PBE.

Values from the calculation:
symmetry	Pm-3m (221)
E_form (uncorrected)	0.521	eV per atom
DOS(E_F)	0.98	states/eV/atom

The structure in POSCAR format:
```
Sb4S
1.0
5.239 0.000 0.000
0.000 5.239 0.000
0.000 0.000 5.239
Sb S
4 1
Direct
0.000 0.000 0.000
0.000 0.500 0.500
0.500 0.000 0.500
0.500 0.500 0.000
0.500 0.500 0.500
```

---

# 3
MnZn2Pt: optimized geometry, PBE.

Values from the calculation:
symmetry	R-3m (166)
energy of formation	-0.12	eV/atom
DOS(E_F)	0.73	states/eV/atom

The structure in POSCAR format:
```
MnZn2Pt
1.0
2.834 0.000 0.000
-1.417 2.454 0.000
0.000 0.000 25.620
Mn Zn Pt
3 6 3
Direct
0.000 0.000 0.000
0.333 0.667 0.667
0.667 0.333 0.333
0.000 0.000 0.250
0.000 0.000 0.750
0.333 0.667 0.416
0.333 0.667 0.917
0.667 0.333 0.083
0.667 0.333 0.584
0.000 0.000 0.500
0.333 0.667 0.167
0.667 0.333 0.833
```

---

# 4
Li4CuH6: optimized geometry, PBE.

Values from the calculation:
symmetry	Cc (9)
final energy	-3.10	eV/atom
DOS(E_F)	0.12	states/eV/atom

The structure in POSCAR format:
```
Li4CuH6
1.0
4.122 -2.483 0.000
4.122 2.483 0.000
-2.823 0.000 9.348
Li Cu H
8 2 12
Direct
0.157 0.526 0.833
0.182 0.818 0.500
0.198 0.645 0.170
0.475 0.890 0.043
0.526 0.157 0.333
0.645 0.198 0.670
0.818 0.182 0.000
0.890 0.475 0.543
0.491 0.830 0.766
0.830 0.491 0.266
0.115 0.444 0.405
0.118 0.266 0.169
0.145 0.786 0.005
0.266 0.118 0.669
0.301 0.620 0.668
0.444 0.115 0.905
0.537 0.666 0.365
0.620 0.301 0.168
0.666 0.537 0.865
0.770 0.807 0.206
0.786 0.145 0.505
0.807 0.770 0.706
```

---

# 5
BaIn3F: optimized geometry, PBE.

Values from the calculation:
energy above the most stable polymorph in this dataset	0.0	kJ per mole of atoms
symmetry	Pm-3m (221)
E_form (uncorrected)	-0.733	eV per atom
DOS(E_F)	0.90	states/eV/atom

The structure in POSCAR format:
```
BaIn3F
1.0
5.266 0.000 0.000
0.000 5.266 0.000
0.000 0.000 5.266
Ba In F
1 3 1
Direct
0.000 0.000 0.000
0.000 0.500 0.500
0.500 0.000 0.500
0.500 0.500 0.000
0.500 0.500 0.500
```

---

# 6
Pm2ErPd8: optimized geometry, PBE.

Values from the calculation:
symmetry	C2/m (12)
energy of formation	-0.70	eV/atom
DOS(E_F)	0.43	states/eV/atom

The structure in POSCAR format:
```
Pm2ErPd8
1.0
7.460 -2.130 0.000
7.460 2.130 0.000
-2.208 0.000 6.478
Pm Er Pd
2 1 8
Direct
0.217 0.217 0.165
0.783 0.783 0.835
0.500 0.500 0.500
0.035 0.035 0.220
0.138 0.138 0.669
0.326 0.326 0.597
0.412 0.412 0.055
0.588 0.588 0.945
0.674 0.674 0.403
0.862 0.862 0.331
0.965 0.965 0.780
```

---

# 7
TaHgPb3: optimized geometry, PBE.

Values from the calculation:
energy above the most stable polymorph in this dataset	0.0	kJ per mole of atoms
symmetry	Pm-3m (221)
energy of formation	0.41	eV/atom
DOS(E_F)	0.41	states/eV/atom

The structure in POSCAR format:
```
TaHgPb3
1.0
5.535 0.000 0.000
0.000 5.535 0.000
0.000 0.000 5.535
Ta Hg Pb
1 1 3
Direct
0.000 0.000 0.000
0.500 0.500 0.500
0.000 0.000 0.500
0.000 0.500 0.000
0.500 0.000 0.000
```